Record 1
A plane-wave DFT calculation with PBE was carried out for a relaxed LiAcTbRh crystal.

Structure (POSCAR):
```
LiAcTbRh
1.0
-0.161 -0.702 5.131
-4.221 -2.043 2.204
0.165 -4.791 1.966
Tb Ac Rh Li
1 1 1 1
Cartesian
-1.054 -1.884 2.325
-3.162 -5.651 6.976
-2.108 -3.768 4.651
0.000 0.000 0.000
```

Summary:
The value obtained for the total energy is -4.815 eV/atom. The value obtained for the formation energy is -0.314 eV/atom. The space group is F-43m (216). As for the density of states at the Fermi level: 3.3 states/eV/f.u.



Record 2
A plane-wave DFT calculation with PBE was carried out for a relaxed LiAcTeRh crystal.

Structure (POSCAR):
```
LiAcTeRh
1.0
-1.284 -4.397 -2.055
2.726 -4.107 0.952
-1.891 -3.657 2.873
Rh Ac Te Li
1 1 1 1
Cartesian
-0.337 -9.121 1.328
0.000 0.000 0.000
-0.224 -6.081 0.885
-0.112 -3.040 0.443
```

Summary:
The value obtained for the total energy is -4.683 eV/atom. For the raw formation energy, the calculation gives -0.554 eV/atom. The space group is F-43m (216). As for the density of states at the Fermi level: 3.6 states/eV/f.u.



Record 3
A plane-wave DFT calculation with PBE was carried out for a relaxed LiAcTlRh crystal.

Structure (POSCAR):
```
LiAcTlRh
1.0
5.053 0.000 0.000
2.526 4.376 0.000
2.526 1.459 4.126
Ac Rh Tl Li
1 1 1 1
Cartesian
7.579 4.376 3.094
5.053 2.917 2.063
2.526 1.459 1.031
0.000 0.000 0.000
```

Summary:
The value obtained for the total energy is -4.221 eV/atom. The value obtained for the formation energy is -0.286 eV/atom. The space group is F-43m (216). As for the density of states at the Fermi level: 3.7 states/eV/f.u.



Record 4
A plane-wave DFT calculation with PBE was carried out for a relaxed LiAcTmRh crystal.

Structure (POSCAR):
```
LiAcTmRh
1.0
-2.690 3.319 -2.861
0.451 -0.066 -5.122
-3.898 -1.679 -2.903
Li Rh Ac Tm
1 1 1 1
Cartesian
0.000 0.000 0.000
-3.068 0.786 -5.443
-1.534 0.393 -2.721
-4.603 1.180 -8.164
```

Summary:
The value obtained for the total energy is -4.796 eV/atom. The value obtained for the formation energy is -0.335 eV/atom. The space group is F-43m (216). As for the density of states at the Fermi level: 3.1 states/eV/f.u.



Record 5
A plane-wave DFT calculation with PBE was carried out for a relaxed LiAc2ZnRh6 crystal.

Structure (POSCAR):
```
LiAc2ZnRh6
1.0
-1.319 -5.780 2.516
2.551 1.858 5.613
-3.454 -0.458 5.426
Rh Ac Li Zn
6 2 1 1
Cartesian
-1.520 -1.173 4.780
-2.514 -3.447 11.624
-0.399 -3.965 3.252
-0.701 -3.207 8.776
-1.822 -0.415 10.304
0.293 -0.932 1.932
-0.143 -0.280 7.552
-2.078 -4.099 6.004
0.000 0.000 0.000
0.616 -1.961 4.065
```

Summary:
The value obtained for the total energy is -5.625 eV/atom. The value obtained for the formation energy is -0.073 eV/atom. The space group is C2/m (12). As for the density of states at the Fermi level: 11.6 states/eV/f.u.



Record 6
A plane-wave DFT calculation with PBE was carried out for a relaxed LiAc2Zn6Rh crystal.

Structure (POSCAR):
```
LiAc2Zn6Rh
1.0
-1.489 -6.068 -1.704
3.918 -2.401 5.121
-2.733 -3.993 4.301
Zn Ac Li Rh
6 2 1 1
Cartesian
0.048 -2.219 0.777
-1.113 -3.912 2.597
-0.352 -10.244 6.941
0.810 -8.550 5.121
0.281 -7.667 7.664
-0.585 -4.795 0.053
0.693 -5.141 5.392
-0.997 -7.321 2.326
0.000 0.000 0.000
1.215 -4.235 1.708
```

Summary:
The value obtained for the total energy is -2.776 eV/atom. The value obtained for the formation energy is -0.264 eV/atom. The space group is C2/m (12). As for the density of states at the Fermi level: 6.8 states/eV/f.u.



Record 7
A plane-wave DFT calculation with PBE was carried out for a relaxed LiAcZnRh crystal.

Structure (POSCAR):
```
LiAcZnRh
1.0
-1.185 -1.760 -4.423
2.932 -3.252 -2.212
-1.434 -4.667 -0.480
Zn Rh Li Ac
1 1 1 1
Cartesian
0.000 0.000 0.000
0.235 -7.259 -5.337
0.078 -2.420 -1.779
0.157 -4.839 -3.558
```

Summary:
The value obtained for the total energy is -3.915 eV/atom. The value obtained for the formation energy is -0.253 eV/atom. The space group is F-43m (216). As for the density of states at the Fermi level: 1.7 states/eV/f.u.



Record 8
A plane-wave DFT calculation with PBE was carried out for a relaxed Li2Ac4Ru crystal.

Structure (POSCAR):
```
Li2Ac4Ru
1.0
-5.438 0.902 1.333
-0.569 -5.471 1.380
5.243 4.053 6.580
Ac Li Ru
4 2 1
Cartesian
0.786 0.621 2.786
-2.719 0.451 0.666
-0.285 -2.736 0.690
-1.551 -1.136 6.508
-2.445 -1.843 3.336
1.680 1.328 5.957
0.000 0.000 0.000
```

Summary:
The value obtained for the total energy is -4.145 eV/atom. The value obtained for the formation energy is 0.075 eV/atom. The space group is I4/mmm (139). As for the density of states at the Fermi level: 9.8 states/eV/f.u.



Record 9
A plane-wave DFT calculation with PBE was carried out for a relaxed LiAcRu crystal.

Structure (POSCAR):
```
LiAcRu
1.0
3.812 0.000 0.000
0.000 4.487 0.000
0.000 -2.243 3.886
Ru Ac Li
1 1 1
Cartesian
0.634 0.000 0.000
2.541 2.243 1.295
0.637 0.000 2.591
```

Summary:
The value obtained for the total energy is -4.957 eV/atom. Its excess energy over the best structure of this formula in the dataset is 0.154 eV per atom. The value obtained for the formation energy is 0.142 eV/atom. The space group is P-6m2 (187). As for the density of states at the Fermi level: 2.2 states/eV/f.u.



Record 10
A plane-wave DFT calculation with PBE was carried out for a relaxed LiAc4Ru2 crystal.

Structure (POSCAR):
```
LiAc4Ru2
1.0
-1.007 -4.748 8.618
7.927 3.077 0.664
-6.525 5.256 -2.008
Ac Ru Li
8 4 2
Cartesian
-5.052 2.136 2.337
-1.422 -1.875 6.876
-1.719 -0.533 2.889
2.709 -0.679 6.971
-1.036 3.771 2.348
2.391 0.987 3.382
-4.400 0.556 5.968
-0.738 1.977 6.094
4.446 1.073 5.472
0.470 -0.532 5.049
-1.490 5.352 -0.082
-2.743 2.018 3.963
1.146 5.108 0.133
-3.225 3.331 -0.165
```

Summary:
The value obtained for the total energy is -5.320 eV/atom. The value obtained for the formation energy is -0.048 eV/atom. The space group is P1 (1). As for the density of states at the Fermi level: 5.0 states/eV/f.u.



Record 11
A plane-wave DFT calculation with PBE was carried out for a relaxed LiAc2Ru crystal.

Structure (POSCAR):
```
LiAc2Ru
1.0
4.236 0.000 0.000
2.118 3.669 0.000
2.118 1.223 9.101
Ac Li Ru
2 1 1
Cartesian
2.118 1.223 1.608
6.355 3.669 7.493
4.236 2.446 4.550
0.000 0.000 0.000
```

Summary:
The value obtained for the total energy is -4.885 eV/atom. The value obtained for the formation energy is -0.034 eV/atom. The space group is R-3m (166). As for the density of states at the Fermi level: 2.6 states/eV/f.u.



Record 12
A plane-wave DFT calculation with PBE was carried out for a relaxed LiAc2Ru crystal.

Structure (POSCAR):
```
LiAc2Ru
1.0
3.735 0.000 0.000
0.000 3.735 0.000
0.000 0.000 8.614
Ac Ru Li
2 1 1
Cartesian
0.000 0.000 1.779
0.000 0.000 6.835
1.868 1.868 0.000
1.868 1.868 4.307
```

Summary:
The value obtained for the total energy is -4.845 eV/atom. The value obtained for the formation energy is 0.007 eV/atom. The space group is P4/mmm (123). As for the density of states at the Fermi level: 3.6 states/eV/f.u.



Record 13
A plane-wave DFT calculation with PBE was carried out for a relaxed LiAcRu crystal.

Structure (POSCAR):
```
LiAcRu
1.0
-2.942 0.830 -2.931
-5.048 -2.095 4.474
-0.755 8.715 3.227
Li Ac Ru
4 4 4
Cartesian
-4.244 0.921 1.461
-6.188 1.337 3.531
-3.938 5.541 2.462
-2.198 7.486 1.267
-3.087 2.644 3.847
-3.840 6.427 5.676
-0.661 4.829 2.032
-0.729 0.705 0.932
-5.704 -1.017 2.377
-5.759 4.098 3.882
-3.881 8.120 3.136
-3.076 3.316 0.967
```

Summary:
The value obtained for the total energy is -4.941 eV/atom. Its excess energy over the best structure of this formula in the dataset is 0.170 eV per atom. The value obtained for the formation energy is 0.158 eV/atom. The space group is Pmc2_1 (26). As for the density of states at the Fermi level: 1.4 states/eV/f.u.



Record 14
A plane-wave DFT calculation with PBE was carried out for a relaxed LiAcRu crystal.

Structure (POSCAR):
```
LiAcRu
1.0
4.645 0.000 0.000
2.323 4.023 0.000
2.323 1.341 3.793
Li Ac Ru
1 1 1
Cartesian
0.000 0.000 0.000
4.645 2.682 1.896
2.323 1.341 0.948
```

Summary:
The value obtained for the total energy is -4.972 eV/atom. Its excess energy over the best structure of this formula in the dataset is 0.139 eV per atom. The value obtained for the formation energy is 0.127 eV/atom. The space group is F-43m (216). As for the density of states at the Fermi level: 0.4 states/eV/f.u.



Record 15
A plane-wave DFT calculation with PBE was carried out for a relaxed Li3Ac12Ru5 crystal.

Structure (POSCAR):
```
Li3Ac12Ru5
1.0
15.906 0.000 0.000
-5.302 14.996 0.000
-5.302 -7.498 12.987
Ac Li Ru
48 12 20
Cartesian
-2.813 3.189 7.953
2.025 5.392 8.849
5.928 6.280 10.387
-0.894 9.559 1.141
6.595 2.160 1.459
11.961 3.565 3.893
8.115 13.452 0.245
-2.813 -5.954 12.742
10.766 -3.189 7.953
-6.196 -0.042 10.632
7.059 7.456 2.355
8.579 -1.219 2.600
8.115 4.309 5.034
2.489 10.263 5.279
3.277 2.106 4.138
0.626 9.604 8.849
6.196 2.019 11.773
9.246 -5.338 11.528
-3.944 12.836 1.459
-0.626 1.219 2.600
6.595 11.431 3.893
-5.464 10.687 5.034
1.757 2.061 11.846
-4.676 6.610 6.738
2.813 -2.765 7.708
-2.025 -0.888 6.249
3.545 5.437 1.141
1.294 1.405 7.634
6.659 -1.405 7.634
-1.757 0.042 10.632
3.545 9.517 1.214
-1.294 5.338 11.528
-1.294 -3.933 9.094
9.978 0.888 6.249
10.442 1.544 0.245
-0.894 5.479 1.214
4.676 -2.106 4.138
-5.140 5.954 12.742
-6.659 3.933 9.094
6.196 -2.061 11.846
1.757 -2.019 11.773
5.140 2.765 7.708
0.162 4.733 5.279
4.008 6.093 5.353
-1.357 8.903 5.353
11.498 7.541 2.355
7.327 8.386 6.738
-3.277 8.717 10.387
9.278 10.310 1.623
3.976 0.000 9.740
9.278 4.686 1.623
3.976 8.435 8.117
-3.976 -2.812 11.364
-1.325 6.561 8.117
11.929 0.000 3.247
6.627 0.937 4.870
-3.976 2.812 11.364
-6.627 7.498 9.740
1.325 7.498 3.247
1.325 -0.937 4.870
7.953 0.000 0.000
1.325 -3.749 9.740
0.000 0.000 0.000
5.302 -3.749 6.494
-1.325 3.749 3.247
5.302 7.498 0.000
3.976 11.247 3.247
3.976 2.812 1.623
-5.302 3.749 6.494
-2.651 7.498 0.000
-3.976 8.435 4.870
-1.325 12.184 1.623
-2.651 -3.749 6.494
9.278 -0.937 8.117
6.627 -4.686 11.364
1.325 4.686 11.364
6.627 3.749 9.740
2.651 3.749 6.494
6.627 6.561 4.870
-1.325 0.937 8.117
```

Summary:
The value obtained for the total energy is -4.952 eV/atom. The value obtained for the formation energy is 0.119 eV/atom. The space group is Ia-3d (230). As for the density of states at the Fermi level: 21.5 states/eV/f.u.



Record 16
A plane-wave DFT calculation with PBE was carried out for a relaxed LiAc2Ru crystal.

Structure (POSCAR):
```
LiAc2Ru
1.0
-1.284 -4.866 -1.855
1.762 0.575 5.025
-3.841 3.614 0.934
Ac Li Ru
2 1 1
Cartesian
1.760 0.576 5.024
-1.038 2.094 2.981
-0.281 -1.098 3.075
-3.083 0.421 1.029
```

Summary:
The value obtained for the total energy is -4.872 eV/atom. The value obtained for the formation energy is -0.020 eV/atom. The space group is Immm (71). As for the density of states at the Fermi level: 4.1 states/eV/f.u.



Record 17
A plane-wave DFT calculation with PBE was carried out for a relaxed LiAc4Ru crystal.

Structure (POSCAR):
```
LiAc4Ru
1.0
-5.776 -4.335 -0.352
2.841 -1.352 7.808
-3.162 8.791 -1.014
Ru Ac Li
2 8 2
Cartesian
-5.074 -2.297 0.171
-1.022 5.402 6.271
1.755 -0.475 6.380
-5.257 0.491 -0.251
-3.377 4.968 4.652
-0.839 2.613 6.693
-1.465 2.268 2.323
-4.632 0.836 4.119
-7.852 3.580 0.062
-2.720 -1.864 1.790
-5.026 3.519 2.012
-1.070 -0.415 4.430
```

Summary:
The value obtained for the total energy is -4.608 eV/atom. The value obtained for the formation energy is -0.004 eV/atom. The space group is C2/c (15). As for the density of states at the Fermi level: 6.4 states/eV/f.u.



Record 18
A plane-wave DFT calculation with PBE was carried out for a relaxed LiAcRu crystal.

Structure (POSCAR):
```
LiAcRu
1.0
-1.093 -2.581 -3.499
0.931 -5.681 1.038
-4.365 -4.021 4.324
Ru Ac Li
2 2 2
Cartesian
-0.490 -7.878 -0.601
-2.554 -6.546 -0.956
-1.539 -7.328 2.187
-0.413 -4.516 -0.245
-3.606 -5.110 1.183
-3.642 -5.073 4.044
```

Summary:
The value obtained for the total energy is -5.063 eV/atom. Its excess energy over the best structure of this formula in the dataset is 0.048 eV per atom. The value obtained for the formation energy is 0.037 eV/atom. The space group is P-1 (2). As for the density of states at the Fermi level: 3.3 states/eV/f.u.



Record 19
A plane-wave DFT calculation with PBE was carried out for a relaxed LiAcRu crystal.

Structure (POSCAR):
```
LiAcRu
1.0
-0.548 -3.563 -2.524
2.372 1.917 -3.221
6.078 -4.410 4.906
Ac Li Ru
2 2 2
Cartesian
0.987 -3.336 -1.259
6.916 -2.720 0.420
3.975 -4.756 0.097
3.927 -1.300 -0.936
1.449 -0.122 -2.060
6.454 -5.934 1.221
```

Summary:
The value obtained for the total energy is -5.111 eV/atom. Its excess energy over the best structure of this formula in the dataset is 0.000 eV per atom. The value obtained for the formation energy is -0.012 eV/atom. The space group is Cmcm (63). As for the density of states at the Fermi level: 2.4 states/eV/f.u.



Record 20
A plane-wave DFT calculation with PBE was carried out for a relaxed LiAc8Ru2 crystal.

Structure (POSCAR):
```
LiAc8Ru2
1.0
-1.796 -4.743 -3.418
-4.340 -4.023 6.090
-7.509 3.227 -2.304
Ac Ru Li
8 2 1
Cartesian
-2.482 -1.730 -0.557
-4.192 -3.213 2.656
-5.681 -3.770 -1.111
-9.453 -2.326 -2.289
-7.964 -1.769 1.479
-11.163 -3.809 0.924
-7.914 -5.847 1.787
-5.731 0.307 -1.420
-5.092 -1.272 0.823
-8.553 -4.267 -0.456
0.000 0.000 0.000
```

Summary:
The value obtained for the total energy is -4.833 eV/atom. The value obtained for the formation energy is 0.015 eV/atom. The space group is C2/m (12). As for the density of states at the Fermi level: 13.4 states/eV/f.u.



Record 21
A plane-wave DFT calculation with PBE was carried out for a relaxed LiAcRu crystal.

Structure (POSCAR):
```
LiAcRu
1.0
3.691 0.000 0.000
0.000 3.691 0.000
-1.845 -1.845 4.755
Ac Li Ru
1 1 1
Cartesian
1.845 1.845 4.351
0.000 0.000 2.417
1.845 1.845 1.315
```

Summary:
The value obtained for the total energy is -4.920 eV/atom. Its excess energy over the best structure of this formula in the dataset is 0.191 eV per atom. The value obtained for the formation energy is 0.180 eV/atom. The space group is I4mm (107). As for the density of states at the Fermi level: 1.4 states/eV/f.u.



Record 22
A plane-wave DFT calculation with PBE was carried out for a relaxed LiAcSbRu crystal.

Structure (POSCAR):
```
LiAcSbRu
1.0
-1.873 0.022 -4.592
-1.063 -4.282 -2.264
-4.726 -1.298 -0.757
Ru Sb Ac Li
1 1 1 1
Cartesian
-5.746 -4.169 -5.710
-3.831 -2.779 -3.806
0.000 0.000 0.000
-1.915 -1.390 -1.903
```

Summary:
The value obtained for the total energy is -5.161 eV/atom. For the raw formation energy, the calculation gives -0.306 eV/atom. The space group is F-43m (216). As for the density of states at the Fermi level: 5.6 states/eV/f.u.



Record 23
A plane-wave DFT calculation with PBE was carried out for a relaxed LiAcScRu crystal.

Structure (POSCAR):
```
LiAcScRu
1.0
-2.582 -4.226 0.650
1.553 -4.232 -2.152
1.892 -3.678 2.801
Ac Sc Li Ru
1 1 1 1
Cartesian
0.000 0.000 0.000
0.431 -6.068 0.650
0.647 -9.101 0.974
0.216 -3.034 0.325
```

Summary:
The value obtained for the total energy is -5.500 eV/atom. The value obtained for the formation energy is -0.093 eV/atom. The space group is F-43m (216). As for the density of states at the Fermi level: 2.8 states/eV/f.u.